[1]
K2LiCa | PBE-GGA | relaxed

Unit cell a=6.449 b=6.449 c=9.352 alpha=90.00 beta=90.00 gamma=90.00
Space group I-4m2 (No. 119)
Inequivalent atoms, fractional coordinates:
K (0.000, 0.000, 0.000) (multiplicity 2)
K (0.000, 0.500, 0.250) (multiplicity 2)
Li (0.000, 0.500, 0.750) (multiplicity 2)
Ca (0.000, 0.000, 0.500) (multiplicity 2)

Properties
For the formation energy, the calculation gives 0.203 eV per atom. For the total energy, the calculation gives -1.324 eV per atom. The value obtained for the relative energy among the computed polymorphs is 96 meV per atom. The total magnetization comes out at 0.00 μB/f.u. The value obtained for the density is 1.07 g cm⁻³.


[2]
ScWSe4 | PBE-GGA | relaxed

Unit cell a=7.834 b=7.834 c=7.834 alpha=90.00 beta=90.00 gamma=90.00
Space group F-43m (No. 216)
Inequivalent atoms, fractional coordinates:
Sc (0.000, 0.000, 0.000) (multiplicity 4)
W (0.250, 0.250, 0.250) (multiplicity 4)
Se (0.125, 0.125, 0.625) (multiplicity 16)

Properties
For the total energy, the calculation gives -4.616 eV per atom. The formation energy (no corrections) comes out at 921 meV/atom. The total magnetization comes out at 1.58 μB/f.u. The value obtained for the density is 7.52 g cm⁻³.


[3]
ScCd | PBE-GGA | relaxed

Unit cell a=8.702 b=8.702 c=8.702 alpha=90.00 beta=90.00 gamma=90.00
Space group I-43m (No. 217)
Inequivalent atoms, fractional coordinates:
Sc (0.194, 0.194, 0.194) (multiplicity 8)
Cd (0.122, 0.122, 0.878) (multiplicity 8)

Properties
For the formation energy, the calculation gives 0.797 eV per atom. For the total energy, the calculation gives -2.826 eV per atom. The total magnetization comes out at 0.00 μB/f.u. The value obtained for the density is 3.17 g cm⁻³.


Q: Number 2 is which compound?
A: ScWSe4


Q: Which of these has the highest density?
A: ScWSe4


Q: Which of these has the highest density?
A: ScWSe4


Copy entry 2 word for word.
ScWSe4 | PBE-GGA | relaxed

Unit cell a=7.834 b=7.834 c=7.834 alpha=90.00 beta=90.00 gamma=90.00
Space group F-43m (No. 216)
Inequivalent atoms, fractional coordinates:
Sc (0.000, 0.000, 0.000) (multiplicity 4)
W (0.250, 0.250, 0.250) (multiplicity 4)
Se (0.125, 0.125, 0.625) (multiplicity 16)

Properties
For the total energy, the calculation gives -4.616 eV per atom. The formation energy (no corrections) comes out at 921 meV/atom. The total magnetization comes out at 1.58 μB/f.u. The value obtained for the density is 7.52 g cm⁻³.